No. 1
DFT (PBE-GGA) results for crystalline Ba2ScRh at its relaxed geometry.

Properties
volume: 31.2 A^3/atom
energy above the most stable polymorph in this dataset: 0.6272 eV/atom
magnetization: 1.3 μB/cell
symmetry: Fm-3m

```
Ba2ScRh
1.0
-2.2709 4.6582 2.1478
1.2830 5.0077 -2.1785
-3.8424 2.8537 -2.9260
Sc Rh Ba
1 1 2
direct
0.0000 0.0000 0.0000 Sc
0.5000 0.5000 0.5000 Rh
0.2500 0.2500 0.2500 Ba
0.7500 0.7500 0.7500 Ba
```

=====

No. 2
DFT (PBE-GGA) results for crystalline La3Nd3Tl2Hg at its relaxed geometry.

Properties
volume: 32.2 A^3/atom
magnetization: 0.0 μB/cell
DFT total energy: -0.3000 Ry/atom
symmetry: P-62m

```
La3Nd3Tl2Hg
1.0
3.8740 0.0000 0.0000
0.0000 9.2920 0.0000
0.0000 -4.6460 8.0471
La Nd Tl Hg
3 3 2 1
direct
0.5000 0.7240 0.0000 La
0.5000 0.0000 0.7240 La
0.5000 0.2760 0.2760 La
0.0000 0.6057 0.6057 Nd
0.0000 0.0000 0.3943 Nd
0.0000 0.3943 0.0000 Nd
0.5000 0.6667 0.3333 Tl
0.5000 0.3333 0.6667 Tl
0.0000 0.0000 0.0000 Hg
```